No. 1
Entry from Alexandria via LeMat-Bulk: crystalline Nd2RuPb at its relaxed geometry (PBE).

The structure in CIF format:
```
data_Nd2RuPb
_cell_length_a 3.9059
_cell_length_b 3.9059
_cell_length_c 26.5559
_cell_angle_alpha 90.00
_cell_angle_beta 90.00
_cell_angle_gamma 120.00
_symmetry_space_group_name_H-M 'R -3 m'
_symmetry_Int_Tables_number 166
_symmetry_space_group_name_Hall '-R 3 2"'
loop_
_atom_site_label
_atom_site_fract_x
_atom_site_fract_y
_atom_site_fract_z
Nd1 0.0000 0.0000 0.2316
Ru1 0.0000 0.0000 0.5000
Pb1 0.0000 0.0000 0.0000
```

Results
total energy	-23.182	eV per formula unit
M_tot	0.000	μB/atom


No. 2
Entry from Alexandria via LeMat-Bulk: crystalline YZnRe at its relaxed geometry (PBE).

The structure in CIF format:
```
data_YZnRe
_cell_length_a 3.442
_cell_length_b 3.442
_cell_length_c 9.658
_cell_angle_alpha 90.00
_cell_angle_beta 90.00
_cell_angle_gamma 90.00
_symmetry_space_group_name_H-M 'I 4 m m'
_symmetry_Int_Tables_number 107
_symmetry_space_group_name_Hall 'I 4 -2'
loop_
_atom_site_label
_atom_site_fract_x
_atom_site_fract_y
_atom_site_fract_z
Y1 0.000 0.000 0.000
Zn1 0.000 0.000 0.296
Re1 0.000 0.000 0.690
```

Results
M_tot	0.000	μB/atom
excess energy over the best structure of this formula in the dataset	0.000	eV per atom


No. 3
Entry from Alexandria via LeMat-Bulk: crystalline Ce2TlH2 at its relaxed geometry (PBE).

The structure in CIF format:
```
data_Ce2TlH2
_cell_length_a 6.037
_cell_length_b 10.317
_cell_length_c 12.015
_cell_angle_alpha 90.00
_cell_angle_beta 90.00
_cell_angle_gamma 90.00
_symmetry_space_group_name_H-M 'F d d d'
_symmetry_Int_Tables_number 70
loop_
_symmetry_equiv_pos_as_xyz
'x,y,z'
'-x,-y,-z'
'-x+1/4,-y+1/4,z'
'x+1/4,y+1/4,-z'
'x,-y+1/4,-z+1/4'
'-x,y+1/4,z+1/4'
'-x+1/4,y,-z+1/4'
'x+1/4,-y,z+1/4'
'x,y+1/2,z+1/2'
'-x,-y+1/2,-z+1/2'
'-x+1/4,-y+3/4,z+1/2'
'x+1/4,y+3/4,-z+1/2'
'x,-y+3/4,-z+3/4'
'-x,y+3/4,z+3/4'
'-x+1/4,y+1/2,-z+3/4'
'x+1/4,-y+1/2,z+3/4'
'x+1/2,y,z+1/2'
'-x+1/2,-y,-z+1/2'
'-x+3/4,-y+1/4,z+1/2'
'x+3/4,y+1/4,-z+1/2'
'x+1/2,-y+1/4,-z+3/4'
'-x+1/2,y+1/4,z+3/4'
'-x+3/4,y,-z+3/4'
'x+3/4,-y,z+3/4'
'x+1/2,y+1/2,z'
'-x+1/2,-y+1/2,-z'
'-x+3/4,-y+3/4,z'
'x+3/4,y+3/4,-z'
'x+1/2,-y+3/4,-z+1/4'
'-x+1/2,y+3/4,z+1/4'
'-x+3/4,y+1/2,-z+1/4'
'x+3/4,-y+1/2,z+1/4'
loop_
_atom_site_label
_atom_site_fract_x
_atom_site_fract_y
_atom_site_fract_z
Ce1 0.125 0.304 0.125
Tl1 0.125 0.125 0.625
H1 0.125 0.125 0.007
```

Results
M_tot	0.319	μB/atom
excess energy over the best structure of this formula in the dataset	0.027	eV per atom


No. 4
Entry from Alexandria via LeMat-Bulk: crystalline Rb6Au2Br3O at its relaxed geometry (PBE).

The structure in CIF format:
```
data_Rb6Au2Br3O
_cell_length_a 8.504
_cell_length_b 14.475
_cell_length_c 8.481
_cell_angle_alpha 90.00
_cell_angle_beta 108.82
_cell_angle_gamma 90.00
_symmetry_space_group_name_H-M 'C 1 2/m 1'
_symmetry_Int_Tables_number 12
_symmetry_space_group_name_Hall '-C 2y'
loop_
_atom_site_label
_atom_site_fract_x
_atom_site_fract_y
_atom_site_fract_z
Rb1 0.224 0.000 0.268
Rb2 0.239 0.154 0.746
Au1 0.000 0.331 0.500
Br1 0.000 0.170 0.000
Br2 0.000 0.500 0.000
O1 0.000 0.000 0.500
```

Results
raw formation energy	-1031	meV per atom
M_tot	0.087	μB/atom